[1]
Entry from Alexandria: a relaxed structure of LaMnNi4 (PBE-GGA).

**N(E_F)**: 6.1 states/eV/cell
**E_form**: -0.22 eV/atom
**Crystal system**: hexagonal

a b c (Å): 5.0957 5.0957 3.9798
angles (deg): 90.00 90.00 120.00
Closest atoms and distances in Å follow each position.
Space group P-6m2 (No. 187)
Symmetry-distinct sites (fractional):
La 0.0000 0.0000 0.0000 (multiplicity 1)  3 Mn 2.94, 15 Ni 2.94-3.23
Mn 0.3333 0.6667 0.0000 (multiplicity 1)  6 Ni 2.49
Ni 0.5023 0.0046 0.5000 (multiplicity 3)  6 Ni 2.46-2.58, 2 Mn 2.49
Ni 0.6667 0.3333 0.0000 (multiplicity 1)  6 Ni 2.46



[2]
Entry from Alexandria: a relaxed structure of Na2Al2SnAu5 (PBE-GGA).

**N(E_F)**: 6.4 states/eV/cell
**E_form**: -0.32 eV/atom
**Crystal system**: tetragonal

a b c (Å): 10.9674 10.9674 3.4297
angles (deg): 90.00 90.00 90.00
Closest atoms and distances in Å follow each position.
Space group P4/mbm (No. 127)
Symmetry-distinct sites (fractional):
Na 0.1732 0.3268 0.0000 (multiplicity 4)  3 Al 3.09-3.34, 10 Au 3.19-3.40, 2 Na 3.43
Al 0.1277 0.6277 0.0000 (multiplicity 4)  6 Au 2.59-2.62
Sn 0.0000 0.0000 0.0000 (multiplicity 2)  8 Au 2.93
Au 0.0000 0.5000 0.5000 (multiplicity 2)  4 Al 2.62
Au 0.0657 0.7937 0.5000 (multiplicity 8)  2 Al 2.59



[3]
Entry from Alexandria: a relaxed structure of V2NiAs (PBE-GGA).

**N(E_F)**: 2.2 states/eV/cell
**E_form**: -0.28 eV/atom
**Crystal system**: tetragonal

a b c (Å): 3.6096 3.6096 3.9375
angles (deg): 90.00 90.00 90.00
Closest atoms and distances in Å follow each position.
Space group P4/mmm (No. 123)
Symmetry-distinct sites (fractional):
V 0.0000 0.5000 0.0000 (multiplicity 2)  4 V 2.55, 4 As 2.67, 4 Ni 2.67
Ni 0.0000 0.0000 0.5000 (multiplicity 1)  4 As 2.55, 8 V 2.67
As 0.5000 0.5000 0.5000 (multiplicity 1)  4 Ni 2.55, 8 V 2.67



[4]
Entry from Alexandria: a relaxed structure of K2CoMo (PBE-GGA).

**Relative energy among the computed polymorphs**: 0.621 eV per atom
**N(E_F)**: 4.3 states/eV/cell
**E_form**: 1.42 eV/atom
**Crystal system**: tetragonal

a b c (Å): 2.7661 2.7661 11.5194
angles (deg): 90.00 90.00 90.00
Closest atoms and distances in Å follow each position.
Space group P4/mmm (No. 123)
Symmetry-distinct sites (fractional):
K 0.0000 0.0000 0.2358 (multiplicity 2)  4 K 2.77
Co 0.5000 0.5000 0.0000 (multiplicity 1)  4 Co 2.77
Mo 0.5000 0.5000 0.5000 (multiplicity 1)  4 Mo 2.77